Entry a
# Tb3Er2Tl

Crystalline Tb3Er2Tl at its relaxed geometry (PBE-GGA, Alexandria).

Results
Total magnetic moment (μB/f.u.): 0.00

Cell: 17.2953 6.1407 6.9939 Å, 90.00 90.00 90.00°
Space group Cmcm (No. 63)
Unique sites:
Tb (0.0000, 0.1762, 0.2500) [4 per cell]
Tb (0.1395, 0.5000, 0.0000) [8 per cell]
Er (0.1871, 0.0136, 0.7500) [8 per cell]
Tl (0.0000, 0.3085, 0.7500) [4 per cell]

***

Entry b
# Tb3Er2Tl

Crystalline Tb3Er2Tl at its relaxed geometry (PBE-GGA, Alexandria).

Results
Total magnetic moment (μB/f.u.): 0.00

Cell: 4.8737 15.0851 4.8441 Å, 90.00 90.00 90.00°
Space group Cmmm (No. 65)
Unique sites:
Tb (0.0000, 0.0000, 0.0000) [2 per cell]
Tb (0.0000, 0.3304, 0.0000) [4 per cell]
Er (0.0000, 0.1632, 0.5000) [4 per cell]
Tl (0.0000, 0.5000, 0.5000) [2 per cell]

***

entry b is favored, and the nearest alternative lies 52 meV/atom above it.

***

Entry a
# Tb12Er6Tl

Crystalline Tb12Er6Tl at its relaxed geometry (PBE-GGA, Alexandria).

Results
Total magnetic moment (μB/f.u.): 0.00

Cell: 15.3509 15.3509 8.6355 Å, 90.00 90.00 120.00°
Space group R-3 (No. 148, hexagonal axes)
Unique sites:
Tb (0.0351, 0.7519, 0.3373) [18 per cell]
Tb (0.0709, 0.5092, 0.6645) [18 per cell]
Er (0.0179, 0.8790, 0.6658) [18 per cell]
Tl (0.0000, 0.0000, 0.0000) [3 per cell]

***

Entry b
# Tb12Er6Tl

Crystalline Tb12Er6Tl at its relaxed geometry (PBE-GGA, Alexandria).

Results
Total magnetic moment (μB/f.u.): 0.00

Cell: 11.8173 11.8173 14.9444 Å, 90.00 90.00 120.00°
Space group R-3 (No. 148, hexagonal axes)
Unique sites:
Tb (0.0045, 0.8269, 0.3138) [18 per cell]
Tb (0.0454, 0.1970, 0.9155) [18 per cell]
Er (0.0203, 0.5905, 0.1882) [18 per cell]
Tl (0.0000, 0.0000, 0.5000) [3 per cell]

***

entry a is favored, and the nearest alternative lies 95 meV/atom above it.

***

Entry a
# Tb4ErTl2

Crystalline Tb4ErTl2 at its relaxed geometry (PBE-GGA, Alexandria).

Results
Total magnetic moment (μB/f.u.): 0.02

Cell: 6.7421 10.5672 6.1070 Å, 90.00 97.39 90.00°
Space group C2/m (No. 12)
Unique sites:
Tb (0.0000, 0.2087, 0.0000) [4 per cell]
Tb (0.2500, 0.2500, 0.5000) [4 per cell]
Er (0.0000, 0.0000, 0.5000) [2 per cell]
Tl (0.0889, 0.5000, 0.7714) [4 per cell]

***

Entry b
# Tb4ErTl2

Crystalline Tb4ErTl2 at its relaxed geometry (PBE-GGA, Alexandria).

Results
Total magnetic moment (μB/f.u.): 0.00

Cell: 5.4902 5.4902 26.3791 Å, 90.00 90.00 120.00°
Space group R-3m (No. 166, hexagonal axes)
Unique sites:
Tb (0.0000, 0.0000, 0.1312) [6 per cell]
Tb (0.0000, 0.0000, 0.2641) [6 per cell]
Er (0.0000, 0.0000, 0.5000) [3 per cell]
Tl (0.0000, 0.0000, 0.3824) [6 per cell]

***

entry b is favored, and the nearest alternative lies 44 meV/atom above it.

***

Entry a
# Tb5ErTl6

Crystalline Tb5ErTl6 at its relaxed geometry (PBE-GGA, Alexandria).

Results
Total magnetic moment (μB/f.u.): 0.00

Cell: 5.0965 8.4799 15.2026 Å, 90.00 90.00 90.00°
Space group Immm (No. 71)
Unique sites:
Tb (0.0000, 0.0000, 0.0000) [2 per cell]
Tb (0.0000, 0.0000, 0.3331) [4 per cell]
Tb (0.0000, 0.5000, 0.3338) [4 per cell]
Er (0.0000, 0.5000, 0.0000) [2 per cell]
Tl (0.0000, 0.2482, 0.5000) [4 per cell]
Tl (0.0000, 0.2510, 0.1660) [8 per cell]

***

Entry b
# Tb5ErTl6

Crystalline Tb5ErTl6 at its relaxed geometry (PBE-GGA, Alexandria).

Results
Total magnetic moment (μB/f.u.): 0.00

Cell: 5.4043 7.5072 8.5495 Å, 90.00 108.29 90.00°
Space group P2/m (No. 10)
Unique sites:
Tb (0.0000, 0.0000, 0.0000) [1 per cell]
Tb (0.3323, 0.0000, 0.6647) [2 per cell]
Tb (0.3335, 0.5000, 0.6670) [2 per cell]
Er (0.0000, 0.5000, 0.0000) [1 per cell]
Tl (0.1658, 0.2514, 0.3313) [4 per cell]
Tl (0.5000, 0.2511, 0.0000) [2 per cell]

***

entry b is favored, and the nearest alternative lies 6 meV/atom above it.

***

Entry a
# TbEr4Tl

Crystalline TbEr4Tl at its relaxed geometry (PBE-GGA, Alexandria).

Results
Total magnetic moment (μB/f.u.): 0.00

Cell: 5.4913 21.0120 6.4720 Å, 90.00 90.00 90.00°
Space group Cmc2_1 (No. 36)
Unique sites:
Tb (0.0000, 0.0637, 0.0000) [4 per cell]
Er (0.0000, 0.1380, 0.5133) [4 per cell]
Er (0.0000, 0.2551, 0.8775) [4 per cell]
Er (0.0000, 0.3182, 0.3550) [4 per cell]
Er (0.0000, 0.4604, 0.1757) [4 per cell]
Tl (0.0000, 0.3972, 0.7508) [4 per cell]

***

Entry b
# TbEr4Tl

Crystalline TbEr4Tl at its relaxed geometry (PBE-GGA, Alexandria).

Results
Total magnetic moment (μB/f.u.): 0.00

Cell: 3.5580 3.5580 14.1138 Å, 90.00 90.00 90.00°
Space group P4/mmm (No. 123)
Unique sites:
Tb (0.0000, 0.0000, 0.0000) [1 per cell]
Er (0.0000, 0.0000, 0.3497) [2 per cell]
Er (0.5000, 0.5000, 0.1764) [2 per cell]
Tl (0.5000, 0.5000, 0.5000) [1 per cell]

***

entry b is favored, and the nearest alternative lies 141 meV/atom above it.

***

Entry a
# Tb4ErTl

Crystalline Tb4ErTl at its relaxed geometry (PBE-GGA, Alexandria).

Results
Total magnetic moment (μB/f.u.): 0.00

Cell: 3.5858 3.5858 14.2818 Å, 90.00 90.00 90.00°
Space group P4/mmm (No. 123)
Unique sites:
Tb (0.0000, 0.0000, 0.1502) [2 per cell]
Tb (0.5000, 0.5000, 0.3261) [2 per cell]
Er (0.0000, 0.0000, 0.5000) [1 per cell]
Tl (0.5000, 0.5000, 0.0000) [1 per cell]

***

Entry b
# Tb4ErTl

Crystalline Tb4ErTl at its relaxed geometry (PBE-GGA, Alexandria).

Results
Total magnetic moment (μB/f.u.): 0.00

Cell: 8.6898 14.0857 6.4578 Å, 90.00 108.84 90.00°
Space group C2/c (No. 15)
Unique sites:
Tb (0.0960, 0.1905, 0.0409) [8 per cell]
Tb (0.2136, 0.3755, 0.3807) [8 per cell]
Er (0.0000, 0.4105, 0.7500) [4 per cell]
Tl (0.0000, 0.0000, 0.2500) [4 per cell]

***

entry a is favored, and the nearest alternative lies 88 meV/atom above it.